# 1
A relaxed CdRu2Rh crystal. Source: Alexandria via LeMat-Bulk, functional PBE.

Results
- DOS(E_F) (states/eV per cell) = 7.1
- symmetry = R3m
- size of the total moment (μB/atom) = 0.01
- formation energy (eV/atom) = 0.17
- total energy (eV/f.u.) = -26.13

Cell lengths 9.234, 9.234, 9.234 Å; angles 17.40, 17.40, 17.40 degrees
Sites, in units of the cell vectors:
Ru 0.999 0.999 0.999
Ru 0.257 0.257 0.257
Cd 0.500 0.500 0.500
Rh 0.745 0.745 0.745

# 2
A relaxed CdRu2Rh crystal. Source: Alexandria via LeMat-Bulk, functional PBE.

Results
- DOS(E_F) (states/eV per cell) = 5.2
- symmetry = Pm
- size of the total moment (μB/atom) = 0.00
- formation energy (eV/atom) = 0.20
- total energy (eV/f.u.) = -26.01

Cell lengths 3.795, 2.795, 6.456 Å; angles 64.43, 90.00, 90.00 degrees
Sites, in units of the cell vectors:
Ru 0.500 0.283 0.217
Ru 0.000 0.988 0.012
Rh 0.500 0.733 0.766
Cd 0.000 0.496 0.504

# 3
A relaxed CdRuRh4 crystal. Source: Alexandria via LeMat-Bulk, functional PBE.

Results
- DOS(E_F) (states/eV per cell) = 9.8
- symmetry = F-43m
- size of the total moment (μB/atom) = 0.57
- formation energy (eV/atom) = 0.35
- total energy (eV/f.u.) = -37.50

Cell lengths 5.139, 5.139, 5.139 Å; angles 60.00, 60.00, 60.00 degrees
Each line ends with the local moment (μB).
Sites, in units of the cell vectors:
Rh 0.875 0.375 0.375  0.37
Rh 0.375 0.875 0.375  0.37
Rh 0.375 0.375 0.875  0.37
Rh 0.375 0.375 0.375  0.37
Cd 0.000 0.000 0.000  -0.01
Ru 0.750 0.750 0.750  1.87